The following is a DFT calculation (PBE) of crystalline La8Nd6Er at its relaxed geometry.

a = 9.6088 Å, b = 9.6088 Å, c = 6.7731 Å
α = 90.00°, β = 90.00°, γ = 120.00°
With the nearest neighbours (Å) after each atom.
Positions (direct):
La  0.0342  0.2869  0.3346  3 La 3.35-3.44, 4 Nd 3.36-3.68, 1 Er 3.46
La  0.2528  0.9658  0.3346  3 La 3.35-3.44, 4 Nd 3.36-3.68, 1 Er 3.46
La  0.2869  0.2528  0.6654  3 La 3.35-3.44, 4 Nd 3.36-3.68, 1 Er 3.46
La  0.3333  0.6667  0.3846  3 La 3.35
La  0.6667  0.3333  0.6154  3 La 3.35
La  0.7131  0.7472  0.3346  3 La 3.35-3.44, 4 Nd 3.36-3.68, 1 Er 3.46
La  0.7472  0.0342  0.6654  3 La 3.35-3.44, 4 Nd 3.36-3.68, 1 Er 3.46
La  0.9658  0.7131  0.6654  3 La 3.35-3.44, 4 Nd 3.36-3.68, 1 Er 3.46
Nd  0.0885  0.4298  0.8473  1 Nd 3.36, 4 La 3.36-3.68
Nd  0.3413  0.9115  0.8473  1 Nd 3.36, 4 La 3.36-3.68
Nd  0.4298  0.3413  0.1527  1 Nd 3.36, 4 La 3.36-3.68
Nd  0.5702  0.6587  0.8473  1 Nd 3.36, 4 La 3.36-3.68
Nd  0.6587  0.0885  0.1527  1 Nd 3.36, 4 La 3.36-3.68
Nd  0.9115  0.5702  0.1527  1 Nd 3.36, 4 La 3.36-3.68
Er  0.0000  0.0000  0.0000  6 La 3.46

Results
For the formation energy, the calculation gives 0.1419 eV per atom.

=====

The following is a DFT calculation (PBE) of crystalline LaNd2Er8 at its relaxed geometry.

a = 9.2114 Å, b = 9.2114 Å, c = 5.8905 Å
α = 105.26°, β = 105.26°, γ = 121.21°
With the nearest neighbours (Å) after each atom.
Positions (direct):
La  0.0000  0.0000  0.0000  4 Er 3.38-3.41
Nd  0.3058  0.6942  0.5000  8 Er 3.32-3.47
Nd  0.6942  0.3058  0.5000  8 Er 3.32-3.47
Er  0.0978  0.3316  0.6737  4 Er 3.25-3.57, 2 Nd 3.45-3.47
Er  0.2103  0.7897  0.0000  2 Nd 3.32, 1 La 3.38, 6 Er 3.57-3.70
Er  0.3316  0.0978  0.6737  4 Er 3.25-3.57, 2 Nd 3.45-3.47
Er  0.4312  0.4312  0.2056  4 Er 2.99-3.26
Er  0.5688  0.5688  0.7944  4 Er 2.99-3.26
Er  0.6684  0.9022  0.3263  4 Er 3.25-3.57, 2 Nd 3.45-3.47
Er  0.7897  0.2103  0.0000  2 Nd 3.32, 1 La 3.38, 6 Er 3.57-3.70
Er  0.9022  0.6684  0.3263  4 Er 3.25-3.57, 2 Nd 3.45-3.47

Results
The energy above the most stable polymorph in this dataset is 0.0 kJ/mol of formula units. For the formation energy, the calculation gives 0.1577 eV per atom.

=====

The following is a DFT calculation (PBE) of crystalline La3NdEr at its relaxed geometry.

a = 9.4076 Å, b = 9.4076 Å, c = 6.2066 Å
α = 107.13°, β = 107.13°, γ = 43.06°
With the nearest neighbours (Å) after each atom.
Positions (direct):
La  0.0753  0.6158  0.6004  2 La 3.17-3.19, 1 Nd 3.50
La  0.2783  0.2783  0.0405  8 La 3.58-3.90, 1 Er 3.77, 1 Nd 3.97
La  0.3842  0.9247  0.3996  2 La 3.17-3.19, 1 Nd 3.50
La  0.6158  0.0753  0.6004  2 La 3.17-3.19, 1 Nd 3.50
La  0.7217  0.7217  0.9595  8 La 3.58-3.90, 1 Er 3.77, 1 Nd 3.97
La  0.9247  0.3842  0.3996  2 La 3.17-3.19, 1 Nd 3.50
Nd  0.5000  0.5000  0.0000  2 Nd 3.10
Nd  0.5000  0.5000  0.5000  2 Nd 3.10
Er  0.0520  0.0520  0.7974  2 Er 3.54-3.56, 7 La 3.77-3.93, 4 Nd 3.88
Er  0.9480  0.9480  0.2026  2 Er 3.54-3.56, 7 La 3.77-3.93, 4 Nd 3.88

Results
The energy above the most stable polymorph in this dataset is 0.0 kJ/mol of formula units. For the formation energy, the calculation gives 0.1593 eV per atom.

=====

The following is a DFT calculation (PBE) of crystalline La2Nd3Er7 at its relaxed geometry.

a = 19.4769 Å, b = 19.4769 Å, c = 3.6189 Å
α = 90.00°, β = 90.00°, γ = 163.05°
With the nearest neighbours (Å) after each atom.
Positions (direct):
La  0.1464  0.8536  0.0000  3 Er 3.24-3.45, 2 La 3.62
La  0.8536  0.1464  0.0000  3 Er 3.24-3.45, 2 La 3.62
Nd  0.3130  0.6870  0.5000  2 Nd 3.62, 6 Er 3.66-3.78, 4 La 3.74
Nd  0.5000  0.5000  0.5000  4 Er 3.39, 2 Nd 3.62
Nd  0.6870  0.3130  0.5000  2 Nd 3.62, 6 Er 3.66-3.78, 4 La 3.74
Er  0.0000  0.0000  0.0000  6 Er 3.25-3.62, 4 Nd 3.39
Er  0.0701  0.9299  0.5000  8 Er 3.25-3.62, 2 La 3.45
Er  0.2304  0.7696  0.0000  1 La 3.24, 4 Er 3.24-3.62
Er  0.4117  0.5883  0.0000  6 Er 3.46-3.62, 2 La 3.64, 2 Nd 3.85
Er  0.5883  0.4117  0.0000  6 Er 3.46-3.62, 2 La 3.64, 2 Nd 3.85
Er  0.7696  0.2304  0.0000  1 La 3.24, 4 Er 3.24-3.62
Er  0.9299  0.0701  0.5000  8 Er 3.25-3.62, 2 La 3.45

Results
The energy above the most stable polymorph in this dataset is 21.8 kJ/mol of formula units. For the formation energy, the calculation gives 0.1127 eV per atom.

=====

The following is a DFT calculation (PBE) of crystalline La4NdEr7 at its relaxed geometry.

a = 6.7712 Å, b = 6.7712 Å, c = 12.9328 Å
α = 114.70°, β = 114.70°, γ = 52.05°
With the nearest neighbours (Å) after each atom.
Positions (direct):
La  0.1342  0.1342  0.2777  7 Er 3.41-3.70, 2 La 3.68
La  0.2823  0.2823  0.8379  4 Er 3.28-3.54
La  0.7177  0.7177  0.1621  4 Er 3.28-3.54
La  0.8658  0.8658  0.7223  7 Er 3.41-3.70, 2 La 3.68
Nd  0.5000  0.5000  0.5000  4 Er 2.97-3.15
Er  0.0000  0.0000  0.5000  2 Nd 2.97, 2 Er 3.18
Er  0.1334  0.1334  0.9941  5 La 3.28-3.66, 4 Er 3.29-3.65
Er  0.2891  0.2891  0.5762  1 Nd 3.15, 4 Er 3.18-3.45, 4 La 3.41-3.43
Er  0.4288  0.4288  0.1890  4 Er 3.29-3.65
Er  0.5712  0.5712  0.8110  4 Er 3.29-3.65
Er  0.7109  0.7109  0.4238  1 Nd 3.15, 4 Er 3.18-3.45, 4 La 3.41-3.43
Er  0.8666  0.8666  0.0059  5 La 3.28-3.66, 4 Er 3.29-3.65

Results
For the formation energy, the calculation gives 0.2456 eV per atom.

=====

The following is a DFT calculation (PBE) of crystalline La10NdEr4 at its relaxed geometry.

a = 9.6624 Å, b = 9.6624 Å, c = 9.6624 Å
α = 99.68°, β = 99.68°, γ = 131.58°
With the nearest neighbours (Å) after each atom.
Positions (direct):
La  0.0483  0.1463  0.6972  3 Er 3.41-3.43, 1 Nd 3.44
La  0.1463  0.4491  0.0980  3 Er 3.41-3.43, 1 Nd 3.44
La  0.2500  0.7500  0.5000  4 Er 3.41
La  0.3511  0.0483  0.9020  3 Er 3.41-3.43, 1 Nd 3.44
La  0.4491  0.3511  0.3028  3 Er 3.41-3.43, 1 Nd 3.44
La  0.5509  0.6489  0.6972  3 Er 3.41-3.43, 1 Nd 3.44
La  0.6489  0.9517  0.0980  3 Er 3.41-3.43, 1 Nd 3.44
La  0.7500  0.2500  0.5000  4 Er 3.41
La  0.8537  0.5509  0.9020  3 Er 3.41-3.43, 1 Nd 3.44
La  0.9517  0.8537  0.3028  3 Er 3.41-3.43, 1 Nd 3.44
Nd  0.5000  0.5000  0.0000  8 La 3.44
Er  0.0988  0.3008  0.3996  8 La 3.41-3.43
Er  0.3008  0.9012  0.2020  8 La 3.41-3.43
Er  0.6992  0.0988  0.7980  8 La 3.41-3.43
Er  0.9012  0.6992  0.6004  8 La 3.41-3.43

Results
For the formation energy, the calculation gives 0.6362 eV per atom.

=====

Please write out number 2 again, unchanged.
The following is a DFT calculation (PBE) of crystalline LaNd2Er8 at its relaxed geometry.

a = 9.2114 Å, b = 9.2114 Å, c = 5.8905 Å
α = 105.26°, β = 105.26°, γ = 121.21°
With the nearest neighbours (Å) after each atom.
Positions (direct):
La  0.0000  0.0000  0.0000  4 Er 3.38-3.41
Nd  0.3058  0.6942  0.5000  8 Er 3.32-3.47
Nd  0.6942  0.3058  0.5000  8 Er 3.32-3.47
Er  0.0978  0.3316  0.6737  4 Er 3.25-3.57, 2 Nd 3.45-3.47
Er  0.2103  0.7897  0.0000  2 Nd 3.32, 1 La 3.38, 6 Er 3.57-3.70
Er  0.3316  0.0978  0.6737  4 Er 3.25-3.57, 2 Nd 3.45-3.47
Er  0.4312  0.4312  0.2056  4 Er 2.99-3.26
Er  0.5688  0.5688  0.7944  4 Er 2.99-3.26
Er  0.6684  0.9022  0.3263  4 Er 3.25-3.57, 2 Nd 3.45-3.47
Er  0.7897  0.2103  0.0000  2 Nd 3.32, 1 La 3.38, 6 Er 3.57-3.70
Er  0.9022  0.6684  0.3263  4 Er 3.25-3.57, 2 Nd 3.45-3.47

Results
The energy above the most stable polymorph in this dataset is 0.0 kJ/mol of formula units. For the formation energy, the calculation gives 0.1577 eV per atom.

=====

Copy entry 4 word for word.
The following is a DFT calculation (PBE) of crystalline La2Nd3Er7 at its relaxed geometry.

a = 19.4769 Å, b = 19.4769 Å, c = 3.6189 Å
α = 90.00°, β = 90.00°, γ = 163.05°
With the nearest neighbours (Å) after each atom.
Positions (direct):
La  0.1464  0.8536  0.0000  3 Er 3.24-3.45, 2 La 3.62
La  0.8536  0.1464  0.0000  3 Er 3.24-3.45, 2 La 3.62
Nd  0.3130  0.6870  0.5000  2 Nd 3.62, 6 Er 3.66-3.78, 4 La 3.74
Nd  0.5000  0.5000  0.5000  4 Er 3.39, 2 Nd 3.62
Nd  0.6870  0.3130  0.5000  2 Nd 3.62, 6 Er 3.66-3.78, 4 La 3.74
Er  0.0000  0.0000  0.0000  6 Er 3.25-3.62, 4 Nd 3.39
Er  0.0701  0.9299  0.5000  8 Er 3.25-3.62, 2 La 3.45
Er  0.2304  0.7696  0.0000  1 La 3.24, 4 Er 3.24-3.62
Er  0.4117  0.5883  0.0000  6 Er 3.46-3.62, 2 La 3.64, 2 Nd 3.85
Er  0.5883  0.4117  0.0000  6 Er 3.46-3.62, 2 La 3.64, 2 Nd 3.85
Er  0.7696  0.2304  0.0000  1 La 3.24, 4 Er 3.24-3.62
Er  0.9299  0.0701  0.5000  8 Er 3.25-3.62, 2 La 3.45

Results
The energy above the most stable polymorph in this dataset is 21.8 kJ/mol of formula units. For the formation energy, the calculation gives 0.1127 eV per atom.